This record from the Alexandria database describes crystalline Au2C at its relaxed geometry. The functional is PBE.

Cell and atoms, written as POSCAR:
```
Au2C
1.0
5.659 0.000 0.000
0.000 5.659 0.000
0.000 0.000 5.659
Au C
8 4
Direct
0.156 0.156 0.156
0.156 0.344 0.656
0.344 0.656 0.156
0.344 0.844 0.656
0.656 0.156 0.344
0.656 0.344 0.844
0.844 0.656 0.344
0.844 0.844 0.844
0.000 0.000 0.500
0.000 0.500 0.000
0.500 0.000 0.000
0.500 0.500 0.500
```

Results
**DOS at the Fermi energy**: 1.042 states/eV per atom
**Formation energy**: 1491 meV/atom
**Calculated total energy**: -3.7687 eV/atom